1.
Rb2CoSnF6 | PBE+U | optimized geometry

## Properties
Calculated volume = 17.65 Å³ per atom
Electronic total energy = -4.657 eV/atom

a = 6.262 Å, b = 6.262 Å, c = 9.004 Å
α = 90.00°, β = 90.00°, γ = 90.00°
Space group I4/mmm (No. 139)
Unique sites:
Rb: 0.000 0.500 0.250 [4 per cell]
Co: 0.000 0.000 0.000 [2 per cell]
Sn: 0.000 0.000 0.500 [2 per cell]
F: 0.000 0.000 0.238 [4 per cell]
F: 0.230 0.230 0.000 [8 per cell]

---

2.
UAgMoO6 | PBE+U | optimized geometry

## Properties
Calculated volume = 14.80 Å³ per atom
Electronic total energy = -7.637 eV/atom

a = 5.5650 Å, b = 5.5650 Å, c = 9.9319 Å
α = 90.00°, β = 90.00°, γ = 120.00°
Space group P-31c (No. 163)
Unique sites:
U: 0.3333 0.6667 0.2500 [2 per cell]
Ag: 0.0000 0.0000 0.0000 [2 per cell]
Mo: 0.3333 0.6667 0.7500 [2 per cell]
O: 0.0115 0.3762 0.6439 [12 per cell]

---

| no. | magnetic moment (μB per formula unit) |
| --- | --- |
| 1 | 3.00 |
| 2 | 1.00 |